Entry 1:
! Mo2SeN PBE optimized geometry; values from VASP
&SYSTEM
  ibrav = 0, nat = 8, ntyp = 3
/
ATOMIC_SPECIES
Mo 95.94 Mo.upf
N 14.01 N.upf
Se 78.96 Se.upf
CELL_PARAMETERS angstrom
-0.5553 1.3854 4.3912
0.3500 -4.3975 1.4317
5.9796 -0.8400 3.4705
ATOMIC_POSITIONS crystal
Mo 0.8750 0.7748 0.7500
Mo 0.5248 0.1250 0.2500
Mo 0.3750 0.4752 0.7500
Mo 0.2252 0.6250 0.2500
N 0.5000 0.5000 0.0000
N 0.2500 0.7500 0.5000
Se 0.7500 0.2500 0.5000
Se 0.0000 0.0000 0.0000
! Uncorrected formation energy, meV/atom: 88
! Size of the total moment, μB per atom: 0.000
! Symmetry: I-42d (122)
! Offset from the most stable computed form, meV per atom: 0
! N(E_F), states/eV/f.u.: 4.6

Entry 2:
! MoSe2N2 PBE optimized geometry; values from VASP
&SYSTEM
  ibrav = 0, nat = 5, ntyp = 3
/
ATOMIC_SPECIES
N 14.01 N.upf
Mo 95.94 Mo.upf
Se 78.96 Se.upf
CELL_PARAMETERS angstrom
3.7277 0.0000 0.0000
0.0000 3.7277 0.0000
0.0000 0.0000 6.8775
ATOMIC_POSITIONS crystal
N 0.0000 0.5000 0.0000
N 0.5000 0.0000 0.0000
Mo 0.5000 0.5000 0.5000
Se 0.0000 0.0000 0.0000
Se 0.0000 0.0000 0.5000
! Uncorrected formation energy, meV/atom: 1744
! Size of the total moment, μB per atom: 0.690
! Symmetry: P4/mmm (123)
! Offset from the most stable computed form, meV per atom: 1995
! N(E_F), states/eV/f.u.: 2.9

Entry 3:
! MoSe2N PBE optimized geometry; values from VASP
&SYSTEM
  ibrav = 0, nat = 8, ntyp = 3
/
ATOMIC_SPECIES
Mo 95.94 Mo.upf
N 14.01 N.upf
Se 78.96 Se.upf
CELL_PARAMETERS angstrom
-1.2576 -0.3994 3.2686
5.3831 -4.0768 1.5730
-2.1267 9.2969 0.3181
ATOMIC_POSITIONS crystal
Mo 0.7777 0.3779 0.6094
Mo 0.2777 0.8081 0.4940
N 0.2777 0.6296 0.2263
N 0.7777 0.5564 0.8770
Se 0.7776 0.1977 0.7859
Se 0.2777 0.9884 0.3175
Se 0.7777 0.4156 0.3425
Se 0.2776 0.7704 0.7609
! Uncorrected formation energy, meV/atom: 226
! Size of the total moment, μB per atom: 0.000
! Symmetry: P2_1/m (11)
! N(E_F), states/eV/f.u.: 2.4